# PBE LiPm4Tl3, optimized geometry
# calculated formation energy	-0.232	eV/atom
# crystal system	orthorhombic
# total energy	-29.9	eV/cell
# E above lowest polymorph	54	kJ/mol of formula units
# DOS at the Fermi energy	8.64	states/eV/cell
data_LiPm4Tl3
_space_group_name_H-M_alt 'P m m 2'
_space_group_IT_number 25
_cell_length_a 3.836
_cell_length_b 4.950
_cell_length_c 12.410
_cell_angle_alpha 90.00
_cell_angle_beta 90.00
_cell_angle_gamma 90.00
loop_
_space_group_symop_operation_xyz
'x,y,z'
'-x,-y,z'
'-x,y,z'
'x,-y,z'
loop_
_atom_site_label
_atom_site_fract_x
_atom_site_fract_y
_atom_site_fract_z
_atom_site_occupancy
Li1 0.000 0.000 0.000 1
Pm1 0.000 0.000 0.276 1
Pm2 0.000 0.500 0.590 1
Pm3 0.500 0.000 0.781 1
Pm4 0.500 0.500 0.089 1
Tl1 0.000 0.500 0.865 1
Tl2 0.500 0.000 0.517 1
Tl3 0.500 0.500 0.353 1



# PBE RbAg2Hg2, optimized geometry
# calculated formation energy	-0.024	eV/atom
# crystal system	tetragonal
# total energy	-14.8	eV/cell
# E above lowest polymorph	12	kJ/mol of formula units
# DOS at the Fermi energy	2.80	states/eV/cell
data_RbAg2Hg2
_space_group_name_H-M_alt 'I 4/m m m'
_space_group_IT_number 139
_space_group_name_Hall '-I 4 2'
_cell_length_a 4.705
_cell_length_b 4.705
_cell_length_c 12.883
_cell_angle_alpha 90.00
_cell_angle_beta 90.00
_cell_angle_gamma 90.00
loop_
_atom_site_label
_atom_site_fract_x
_atom_site_fract_y
_atom_site_fract_z
_atom_site_occupancy
Rb1 0.000 0.000 0.000 1
Ag1 0.000 0.500 0.250 1
Hg1 0.000 0.000 0.382 1



# PBE PrThTl2, optimized geometry
# calculated formation energy	-0.238	eV/atom
# crystal system	tetragonal
# total energy	-17.9	eV/cell
# DOS at the Fermi energy	4.39	states/eV/cell
data_PrThTl2
_space_group_name_H-M_alt 'P 4/m m m'
_space_group_IT_number 123
_space_group_name_Hall '-P 4 2'
_cell_length_a 5.092
_cell_length_b 5.092
_cell_length_c 4.562
_cell_angle_alpha 90.00
_cell_angle_beta 90.00
_cell_angle_gamma 90.00
loop_
_atom_site_label
_atom_site_fract_x
_atom_site_fract_y
_atom_site_fract_z
_atom_site_occupancy
Pr1 0.000 0.000 0.000 1
Th1 0.500 0.500 0.000 1
Tl1 0.000 0.500 0.500 1



# PBE Tb2MgTl3, optimized geometry
# calculated formation energy	-0.244	eV/atom
# crystal system	tetragonal
# total energy	-19.4	eV/cell
# E above lowest polymorph	0	kJ/mol of formula units
# DOS at the Fermi energy	4.88	states/eV/cell
data_Tb2MgTl3
_space_group_name_H-M_alt 'P 4/m m m'
_space_group_IT_number 123
_space_group_name_Hall '-P 4 2'
_cell_length_a 3.618
_cell_length_b 3.618
_cell_length_c 12.031
_cell_angle_alpha 90.00
_cell_angle_beta 90.00
_cell_angle_gamma 90.00
loop_
_atom_site_label
_atom_site_fract_x
_atom_site_fract_y
_atom_site_fract_z
_atom_site_occupancy
Tb1 0.000 0.000 0.176 1
Mg1 0.000 0.000 0.500 1
Tl1 0.500 0.500 0.000 1
Tl2 0.500 0.500 0.350 1



# PBE BaFeP2, optimized geometry
# calculated formation energy	-0.466	eV/atom
# crystal system	orthorhombic
# total energy	-23.1	eV/cell
# E above lowest polymorph	39	kJ/mol of formula units
# DOS at the Fermi energy	3.16	states/eV/cell
data_BaFeP2
_space_group_name_H-M_alt 'P m m m'
_space_group_IT_number 47
_cell_length_a 3.818
_cell_length_b 4.829
_cell_length_c 5.023
_cell_angle_alpha 90.00
_cell_angle_beta 90.00
_cell_angle_gamma 90.00
loop_
_space_group_symop_operation_xyz
'x,y,z'
'-x,-y,-z'
'-x,-y,z'
'x,y,-z'
'x,-y,-z'
'-x,y,z'
'-x,y,-z'
'x,-y,z'
loop_
_atom_site_label
_atom_site_fract_x
_atom_site_fract_y
_atom_site_fract_z
_atom_site_occupancy
Ba1 0.000 0.000 0.000 1
Fe1 0.000 0.500 0.500 1
P1 0.500 0.234 0.500 1



# PBE YMnFe2, optimized geometry
# calculated formation energy	0.142	eV/atom
# crystal system	trigonal
# total energy	-96.0	eV/cell
# E above lowest polymorph	8	kJ/mol of formula units
# DOS at the Fermi energy	10.02	states/eV/cell
data_YMnFe2
_space_group_name_H-M_alt 'R 3 m'
_space_group_IT_number 160
_space_group_name_Hall 'R 3 -2"'
_cell_length_a 3.9517
_cell_length_b 3.9517
_cell_length_c 14.9999
_cell_angle_alpha 90.00
_cell_angle_beta 90.00
_cell_angle_gamma 120.00
loop_
_atom_site_label
_atom_site_fract_x
_atom_site_fract_y
_atom_site_fract_z
_atom_site_occupancy
Y1 0.0000 0.0000 0.0000 1
Mn1 0.0000 0.0000 0.1906 1
Fe1 0.0000 0.0000 0.5156 1
Fe2 0.0000 0.0000 0.8019 1



# PBE ZrNi2AsH, optimized geometry
# crystal system	tetragonal
# total energy	-30.1	eV/cell
# DOS at the Fermi energy	1.67	states/eV/cell
data_ZrNi2AsH
_space_group_name_H-M_alt 'P 4/m m m'
_space_group_IT_number 123
_space_group_name_Hall '-P 4 2'
_cell_length_a 3.786
_cell_length_b 3.786
_cell_length_c 4.277
_cell_angle_alpha 90.00
_cell_angle_beta 90.00
_cell_angle_gamma 90.00
loop_
_atom_site_label
_atom_site_fract_x
_atom_site_fract_y
_atom_site_fract_z
_atom_site_occupancy
Zr1 0.000 0.000 0.000 1
Ni1 0.000 0.500 0.500 1
As1 0.500 0.500 0.000 1
H1 0.000 0.000 0.500 1



# PBE SrPrNdHo, optimized geometry
# calculated formation energy	0.206	eV/atom
# crystal system	cubic
# total energy	-59.9	eV/cell
# DOS at the Fermi energy	25.66	states/eV/cell
data_SrPrNdHo
_space_group_name_H-M_alt 'F -4 3 m'
_space_group_IT_number 216
_space_group_name_Hall 'F -4 2 3'
_cell_length_a 8.444
_cell_length_b 8.444
_cell_length_c 8.444
_cell_angle_alpha 90.00
_cell_angle_beta 90.00
_cell_angle_gamma 90.00
loop_
_atom_site_label
_atom_site_fract_x
_atom_site_fract_y
_atom_site_fract_z
_atom_site_occupancy
Sr1 0.000 0.000 0.000 1
Pr1 0.250 0.250 0.250 1
Nd1 0.250 0.250 0.750 1
Ho1 0.000 0.000 0.500 1



# PBE AlAs2Ir, optimized geometry
# calculated formation energy	0.118	eV/atom
# crystal system	tetragonal
# total energy	-42.9	eV/cell
# DOS at the Fermi energy	4.54	states/eV/cell
data_AlAs2Ir
_space_group_name_H-M_alt 'I -4 m 2'
_space_group_IT_number 119
_space_group_name_Hall 'I -4 -2'
_cell_length_a 4.144
_cell_length_b 4.144
_cell_length_c 7.588
_cell_angle_alpha 90.00
_cell_angle_beta 90.00
_cell_angle_gamma 90.00
loop_
_atom_site_label
_atom_site_fract_x
_atom_site_fract_y
_atom_site_fract_z
_atom_site_occupancy
Al1 0.000 0.000 0.000 1
As1 0.000 0.000 0.500 1
As2 0.000 0.500 0.750 1
Ir1 0.000 0.500 0.250 1



# PBE NaTiTcN3, optimized geometry
# crystal system	monoclinic
# formation energy from raw total energies	-3.2	eV/f.u.
# total energy	-95.4	eV/cell
# DOS at the Fermi energy	1.05	states/eV/cell
data_NaTiTcN3
_space_group_name_H-M_alt 'P 1 21/m 1'
_space_group_IT_number 11
_cell_length_a 6.919
_cell_length_b 3.039
_cell_length_c 9.140
_cell_angle_alpha 90.00
_cell_angle_beta 99.02
_cell_angle_gamma 90.00
loop_
_space_group_symop_operation_xyz
'x,y,z'
'-x,-y,-z'
'-x,y+1/2,-z'
'x,-y+1/2,z'
loop_
_atom_site_label
_atom_site_fract_x
_atom_site_fract_y
_atom_site_fract_z
_atom_site_occupancy
Na1 0.193 0.250 0.243 1
Ti1 0.134 0.250 0.599 1
Tc1 0.417 0.750 0.897 1
N1 0.137 0.750 0.447 1
N2 0.199 0.750 0.752 1
N3 0.388 0.750 0.117 1